First-principles (PBE) data for Pr3Ir after structural relaxation, as listed in the Alexandria database.

```
Pr3Ir
1.0
3.8110 0.0000 0.0000
0.0000 5.6937 0.0000
-1.9055 -2.8468 5.5581
Pr Ir
3 1
Direct
0.3054 0.7079 0.6108
0.6946 0.0972 0.3892
0.5000 0.3985 0.0000
0.0000 0.9631 0.0000
```

The value obtained for the volume is 120.6 Å³/cell. The density of states at the Fermi level is 3.8 states/eV/f.u.

First-principles (PBE) data for YThMgSn after structural relaxation, as listed in the Alexandria database.

```
YThMgSn
1.0
-0.9730 -5.0500 -1.6310
-1.1386 -3.8327 3.6226
-4.9931 -2.0204 0.3108
Mg Sn Y Th
1 1 1 1
Direct
0.2500 0.2500 0.2500
0.7500 0.7500 0.7500
0.0000 0.0000 0.0000
0.5000 0.5000 0.5000
```

The value obtained for the volume is 111.1 Å³/cell. The density of states at the Fermi level is 2.9 states/eV/f.u.

no.,formation enthalpy at 0 K (meV per atom)
1,-298
2,-271